(1)
A plane-wave DFT calculation with PBE was carried out for PPb2 after structural relaxation.

Output
**SG**: Cmcm
**Distance to the lowest polymorph of the same formula**: 54 meV/atom
**ΔE_f**: 132 meV per atom

a b c (Å): 10.849 10.849 4.115
angles (deg): 90.00 90.00 158.95
Fractional coordinates of all 6 atoms:
Pb 0.199 0.801 0.750
Pb 0.801 0.199 0.250
Pb 0.933 0.067 0.750
Pb 0.067 0.933 0.250
P 0.606 0.394 0.750
P 0.394 0.606 0.250

(2)
A plane-wave DFT calculation with PBE was carried out for P5Pb after structural relaxation.

Output
**SG**: P-62m
**Distance to the lowest polymorph of the same formula**: 192 meV/atom
**ΔE_f**: 356 meV per atom

a b c (Å): 6.148 6.148 3.322
angles (deg): 90.00 90.00 120.00
Fractional coordinates of all 6 atoms:
P 0.667 0.333 0.500
P 0.333 0.667 0.500
P 0.421 0.000 0.000
P 0.000 0.421 0.000
P 0.579 0.579 0.000
Pb 0.000 0.000 0.500

(3)
A plane-wave DFT calculation with PBE was carried out for PPb3 after structural relaxation.

Output
**SG**: P-6m2
**Distance to the lowest polymorph of the same formula**: 35 meV/atom
**ΔE_f**: 140 meV per atom

a b c (Å): 3.873 3.873 8.999
angles (deg): 90.00 90.00 120.00
Fractional coordinates of all 4 atoms:
Pb 0.667 0.333 0.800
Pb 0.667 0.333 0.200
Pb 0.000 0.000 0.500
P 0.000 0.000 0.000

(4)
A plane-wave DFT calculation with PBE was carried out for PPb3 after structural relaxation.

Output
**SG**: Pm-3n
**Distance to the lowest polymorph of the same formula**: 219 meV/atom
**ΔE_f**: 324 meV per atom

a b c (Å): 6.077 6.077 6.077
angles (deg): 90.00 90.00 90.00
Fractional coordinates of all 8 atoms:
Pb 0.000 0.750 0.500
Pb 0.000 0.250 0.500
Pb 0.500 0.000 0.750
Pb 0.750 0.500 0.000
Pb 0.250 0.500 0.000
Pb 0.500 0.000 0.250
P 0.500 0.500 0.500
P 0.000 0.000 0.000

(5)
A plane-wave DFT calculation with PBE was carried out for PPb2 after structural relaxation.

Output
**SG**: I4/mcm
**Distance to the lowest polymorph of the same formula**: 125 meV/atom
**ΔE_f**: 204 meV per atom

a b c (Å): 5.970 5.970 5.970
angles (deg): 106.63 106.63 115.32
Fractional coordinates of all 6 atoms:
Pb 0.331 0.831 0.163
Pb 0.669 0.169 0.837
Pb 0.169 0.331 0.500
Pb 0.831 0.669 0.500
P 0.250 0.250 0.000
P 0.750 0.750 0.000

(6)
A plane-wave DFT calculation with PBE was carried out for PPb2 after structural relaxation.

Output
**SG**: Fd-3m
**Distance to the lowest polymorph of the same formula**: 737 meV/atom
**ΔE_f**: 815 meV per atom

a b c (Å): 6.311 6.311 6.311
angles (deg): 60.00 60.00 60.00
Fractional coordinates of all 6 atoms:
Pb 0.625 0.125 0.125
Pb 0.125 0.125 0.625
Pb 0.125 0.125 0.125
Pb 0.125 0.625 0.125
P 0.500 0.500 0.500
P 0.750 0.750 0.750

(7)
A plane-wave DFT calculation with PBE was carried out for PPb2 after structural relaxation.

Output
**SG**: P-3m1
**Distance to the lowest polymorph of the same formula**: 0 meV/atom
**ΔE_f**: 78 meV per atom

a b c (Å): 3.980 3.980 6.259
angles (deg): 90.00 90.00 120.00
Fractional coordinates of all 3 atoms:
P 0.000 0.000 0.000
Pb 0.667 0.333 0.728
Pb 0.333 0.667 0.272

(8)
A plane-wave DFT calculation with PBE was carried out for P2Pb after structural relaxation.

Output
**SG**: C2/m
**Distance to the lowest polymorph of the same formula**: 298 meV/atom
**ΔE_f**: 331 meV per atom

a b c (Å): 4.734 4.125 4.249
angles (deg): 93.81 90.00 125.02
Fractional coordinates of all 3 atoms:
P 0.349 0.698 0.562
P 0.651 0.302 0.438
Pb 0.000 0.000 0.000

(9)
A plane-wave DFT calculation with PBE was carried out for PPb3 after structural relaxation.

Output
**SG**: Pnma
**Distance to the lowest polymorph of the same formula**: 3 meV/atom
**ΔE_f**: 108 meV per atom

a b c (Å): 6.795 7.011 9.647
angles (deg): 90.00 90.00 90.00
Fractional coordinates of all 16 atoms:
Pb 0.664 0.491 0.250
Pb 0.852 0.704 0.938
Pb 0.352 0.796 0.062
Pb 0.836 0.991 0.250
Pb 0.336 0.509 0.750
Pb 0.148 0.296 0.438
Pb 0.648 0.204 0.938
Pb 0.352 0.796 0.438
Pb 0.852 0.704 0.562
Pb 0.148 0.296 0.062
Pb 0.164 0.009 0.750
Pb 0.648 0.204 0.562
P 0.081 0.620 0.250
P 0.919 0.380 0.750
P 0.581 0.880 0.750
P 0.419 0.120 0.250

(10)
A plane-wave DFT calculation with PBE was carried out for PPb2 after structural relaxation.

Output
**SG**: I4/mmm
**Distance to the lowest polymorph of the same formula**: 94 meV/atom
**ΔE_f**: 172 meV per atom

a b c (Å): 6.488 6.488 6.488
angles (deg): 147.25 147.25 47.00
Fractional coordinates of all 3 atoms:
Pb 0.865 0.865 0.000
Pb 0.135 0.135 0.000
P 0.500 0.500 0.000

(11)
A plane-wave DFT calculation with PBE was carried out for P2Pb after structural relaxation.

Output
**SG**: Cmcm
**Distance to the lowest polymorph of the same formula**: 27 meV/atom
**ΔE_f**: 60 meV per atom

a b c (Å): 8.723 8.723 4.950
angles (deg): 90.00 90.00 158.05
Fractional coordinates of all 6 atoms:
P 0.400 0.600 0.000
P 0.378 0.622 0.500
P 0.792 0.208 0.500
P 0.986 0.014 0.000
Pb 0.707 0.293 0.000
Pb 0.071 0.929 0.500

(12)
A plane-wave DFT calculation with PBE was carried out for P2Pb3 after structural relaxation.

Output
**SG**: R-3m
**Distance to the lowest polymorph of the same formula**: 0 meV/atom
**ΔE_f**: 23 meV per atom

a b c (Å): 9.461 9.461 9.461
angles (deg): 25.69 25.69 25.69
Fractional coordinates of all 5 atoms:
Pb 0.782 0.782 0.782
Pb 0.000 0.000 0.000
Pb 0.218 0.218 0.218
P 0.398 0.398 0.398
P 0.602 0.602 0.602

(13)
A plane-wave DFT calculation with PBE was carried out for P7Pb6 after structural relaxation.

Output
**SG**: R-3m
**ΔE_f**: 305 meV per atom

a b c (Å): 11.640 11.640 11.640
angles (deg): 28.59 28.59 28.59
Fractional coordinates of all 13 atoms:
Pb 0.048 0.048 0.048
Pb 0.320 0.320 0.320
Pb 0.952 0.952 0.952
Pb 0.838 0.838 0.838
Pb 0.680 0.680 0.680
Pb 0.162 0.162 0.162
P 0.561 0.174 0.561
P 0.439 0.826 0.439
P 0.174 0.561 0.561
P 0.500 0.500 0.500
P 0.439 0.439 0.826
P 0.826 0.439 0.439
P 0.561 0.561 0.174

(14)
A plane-wave DFT calculation with PBE was carried out for PPb3 after structural relaxation.

Output
**SG**: Cmcm
**Distance to the lowest polymorph of the same formula**: 68 meV/atom
**ΔE_f**: 174 meV per atom

a b c (Å): 7.122 7.122 4.860
angles (deg): 90.00 90.00 97.89
Fractional coordinates of all 8 atoms:
Pb 0.893 0.107 0.750
Pb 0.101 0.397 0.250
Pb 0.899 0.603 0.750
Pb 0.107 0.893 0.250
Pb 0.603 0.899 0.250
Pb 0.397 0.101 0.750
P 0.515 0.485 0.750
P 0.485 0.515 0.250

(15)
A plane-wave DFT calculation with PBE was carried out for PPb3 after structural relaxation.

Output
**SG**: P2/m
**Distance to the lowest polymorph of the same formula**: 44 meV/atom
**ΔE_f**: 150 meV per atom

a b c (Å): 3.950 5.184 6.130
angles (deg): 72.04 90.00 90.00
Fractional coordinates of all 4 atoms:
Pb 0.500 0.383 0.787
Pb 0.000 0.000 0.500
Pb 0.500 0.617 0.213
P 0.000 0.000 0.000

(16)
A plane-wave DFT calculation with PBE was carried out for P2Pb after structural relaxation.

Output
**SG**: Cmcm
**Distance to the lowest polymorph of the same formula**: 144 meV/atom
**ΔE_f**: 177 meV per atom

a b c (Å): 7.628 7.628 5.482
angles (deg): 90.00 90.00 154.70
Fractional coordinates of all 6 atoms:
Pb 0.111 0.889 0.750
Pb 0.889 0.111 0.250
P 0.598 0.402 0.250
P 0.801 0.199 0.750
P 0.199 0.801 0.250
P 0.402 0.598 0.750

(17)
A plane-wave DFT calculation with PBE was carried out for P5Pb after structural relaxation.

Output
**SG**: P4/mmm
**Distance to the lowest polymorph of the same formula**: 175 meV/atom
**ΔE_f**: 339 meV per atom

a b c (Å): 3.132 3.132 12.333
angles (deg): 90.00 90.00 90.00
Fractional coordinates of all 6 atoms:
P 0.000 0.000 0.303
P 0.500 0.500 0.245
P 0.000 0.000 0.697
P 0.000 0.000 0.500
P 0.500 0.500 0.755
Pb 0.500 0.500 0.000

(18)
A plane-wave DFT calculation with PBE was carried out for P5Pb after structural relaxation.

Output
**SG**: Amm2
**Distance to the lowest polymorph of the same formula**: 27 meV/atom
**ΔE_f**: 191 meV per atom

a b c (Å): 7.853 7.853 4.875
angles (deg): 90.00 90.00 156.01
Fractional coordinates of all 6 atoms:
P 0.376 0.624 0.000
P 0.752 0.248 0.000
P 0.775 0.225 0.500
P 0.980 0.020 0.000
P 0.373 0.627 0.500
Pb 0.077 0.923 0.500

(19)
A plane-wave DFT calculation with PBE was carried out for PPb2 after structural relaxation.

Output
**SG**: Cm
**Distance to the lowest polymorph of the same formula**: 53 meV/atom
**ΔE_f**: 132 meV per atom

a b c (Å): 6.940 6.940 7.730
angles (deg): 61.15 61.15 32.81
Fractional coordinates of all 6 atoms:
Pb 0.581 0.581 0.160
Pb 0.899 0.899 0.626
Pb 0.640 0.640 0.601
Pb 0.348 0.348 0.068
P 0.031 0.031 0.932
P 0.335 0.335 0.446

(20)
A plane-wave DFT calculation with PBE was carried out for P2Pb after structural relaxation.

Output
**SG**: Fd-3m
**Distance to the lowest polymorph of the same formula**: 521 meV/atom
**ΔE_f**: 554 meV per atom

a b c (Å): 5.566 5.566 5.566
angles (deg): 60.00 60.00 60.00
Fractional coordinates of all 6 atoms:
Pb 0.500 0.500 0.500
Pb 0.750 0.750 0.750
P 0.125 0.125 0.125
P 0.125 0.625 0.125
P 0.625 0.125 0.125
P 0.125 0.125 0.625

(21)
A plane-wave DFT calculation with PBE was carried out for P2Pb after structural relaxation.

Output
**SG**: C2/m
**Distance to the lowest polymorph of the same formula**: 111 meV/atom
**ΔE_f**: 144 meV per atom

a b c (Å): 5.161 5.161 8.844
angles (deg): 89.32 89.32 37.11
Fractional coordinates of all 6 atoms:
Pb 0.501 0.501 0.262
Pb 0.499 0.499 0.738
P 0.756 0.756 0.918
P 0.173 0.173 0.503
P 0.827 0.827 0.497
P 0.244 0.244 0.082

(22)
A plane-wave DFT calculation with PBE was carried out for PPb3 after structural relaxation.

Output
**SG**: P4/mmm
**Distance to the lowest polymorph of the same formula**: 79 meV/atom
**ΔE_f**: 184 meV per atom

a b c (Å): 3.667 3.667 8.180
angles (deg): 90.00 90.00 90.00
Fractional coordinates of all 4 atoms:
Pb 0.500 0.500 0.798
Pb 0.000 0.000 0.500
Pb 0.500 0.500 0.202
P 0.000 0.000 0.000

(23)
A plane-wave DFT calculation with PBE was carried out for P5Pb3 after structural relaxation.

Output
**SG**: P1
**Distance to the lowest polymorph of the same formula**: 0 meV/atom
**ΔE_f**: 125 meV per atom

a b c (Å): 9.776 8.505 8.238
angles (deg): 83.58 61.40 49.87
Fractional coordinates of all 16 atoms:
Pb 0.548 0.635 0.082
Pb 0.336 0.506 0.761
Pb 0.866 0.180 0.249
Pb 0.928 0.917 0.689
Pb 0.858 0.674 0.324
Pb 0.057 0.391 0.660
P 0.597 0.060 0.661
P 0.796 0.324 0.729
P 0.299 0.214 0.187
P 0.192 0.694 0.288
P 0.572 0.119 0.181
P 0.662 0.501 0.557
P 0.396 0.033 0.917
P 0.408 0.009 0.369
P 0.423 0.427 0.358
P 0.067 0.308 0.990

(24)
A plane-wave DFT calculation with PBE was carried out for P7Pb after structural relaxation.

Output
**SG**: Fm-3m
**Distance to the lowest polymorph of the same formula**: 970 meV/atom
**ΔE_f**: 965 meV per atom

a b c (Å): 5.799 5.799 5.799
angles (deg): 60.00 60.00 60.00
Fractional coordinates of all 8 atoms:
P 0.500 0.500 0.500
P 0.500 0.000 0.500
P 0.500 0.000 0.000
P 0.000 0.500 0.500
P 0.000 0.000 0.500
P 0.000 0.500 0.000
P 0.500 0.500 0.000
Pb 0.000 0.000 0.000

(25)
A plane-wave DFT calculation with PBE was carried out for P2Pb after structural relaxation.

Output
**SG**: P-62m
**Distance to the lowest polymorph of the same formula**: 207 meV/atom
**ΔE_f**: 240 meV per atom

a b c (Å): 9.071 9.071 3.337
angles (deg): 90.00 90.00 120.00
Fractional coordinates of all 9 atoms:
P 0.000 0.298 0.000
P 0.298 0.000 0.000
P 0.702 0.702 0.000
P 0.539 0.539 0.500
P 0.000 0.461 0.500
P 0.461 0.000 0.500
Pb 0.667 0.333 0.000
Pb 0.000 0.000 0.500
Pb 0.333 0.667 0.000

(26)
A plane-wave DFT calculation with PBE was carried out for P2Pb after structural relaxation.

Output
**SG**: C2/m
**Distance to the lowest polymorph of the same formula**: 0 meV/atom
**ΔE_f**: 33 meV per atom

a b c (Å): 9.103 9.103 5.520
angles (deg): 63.76 63.76 21.12
Fractional coordinates of all 6 atoms:
P 0.652 0.652 0.653
P 0.626 0.626 0.292
P 0.244 0.244 0.526
P 0.033 0.033 0.419
Pb 0.311 0.311 0.939
Pb 0.967 0.967 0.005